<one>
Sr3Pt2 | meta-GGA SCAN | single point on PBEsol structure

## Properties
Its total moment is 0.00 μB per cell. For the volume, the calculation gives 28.585 Å³ per atom. The value obtained for the density of states at the Fermi level is 1.8 states/eV per cell. As for the space group: P-3m1 (164).

a b c (Å): 5.114 5.114 6.310
angles (deg): 90.00 90.00 120.00
Atoms (fractional coordinates):
1 Sr 0.000 0.000 0.000
2 Sr 0.333 0.667 0.330
3 Sr 0.667 0.333 0.670
4 Pt 0.333 0.667 0.832
5 Pt 0.667 0.333 0.168



<two>
Sr3Pt2 | meta-GGA SCAN | single point on PBEsol structure

## Properties
Its total moment is 0.00 μB per cell. For the volume, the calculation gives 28.578 Å³ per atom. The value obtained for the density of states at the Fermi level is 5.9 states/eV per cell. As for the space group: R-3 (148).

a b c (Å): 7.897 7.897 7.897
angles (deg): 71.32 71.32 71.32
Atoms (fractional coordinates):
1 Sr 0.000 0.000 0.000
2 Sr 0.155 0.671 0.393
3 Sr 0.201 0.201 0.201
4 Sr 0.329 0.607 0.845
5 Sr 0.393 0.155 0.671
6 Sr 0.607 0.845 0.329
7 Sr 0.671 0.393 0.155
8 Sr 0.799 0.799 0.799
9 Sr 0.845 0.329 0.607
10 Pt 0.041 0.414 0.849
11 Pt 0.151 0.959 0.586
12 Pt 0.414 0.849 0.041
13 Pt 0.586 0.151 0.959
14 Pt 0.849 0.041 0.414
15 Pt 0.959 0.586 0.151



Most stable to least stable, the ends of the list are <two> and <one>.